No. 1
{"formula": "YTmMgCr", "functional": "PBE", "state": "optimized geometry", "lattice": [[0.0000, 3.6537, 3.6537], [3.6537, 0.0000, 3.6537], [3.6537, 3.6537, 0.0000]], "species": ["Y", "Tm", "Mg", "Cr"], "fractional_positions": [[0.0000, 0.0000, 0.0000], [0.5000, 0.5000, 0.5000], [0.2500, 0.2500, 0.2500], [0.7500, 0.7500, 0.7500]], "volume_a3_per_atom": 24.39, "formation_energy_ev_per_atom": 0.13, "space_group": "No. 216"}

No. 2
{"formula": "Mg2VCr", "functional": "PBE", "state": "optimized geometry", "lattice": [[0.0000, 3.3130, 3.3130], [3.3130, 0.0000, 3.3130], [3.3130, 3.3130, 0.0000]], "species": ["Mg", "Mg", "V", "Cr"], "fractional_positions": [[0.2500, 0.2500, 0.2500], [0.7500, 0.7500, 0.7500], [0.0000, 0.0000, 0.0000], [0.5000, 0.5000, 0.5000]], "volume_a3_per_atom": 18.18, "formation_energy_ev_per_atom": 0.48, "de_polymorph_mev_per_atom": 0, "space_group": "No. 225"}

No. 3
{"formula": "Mg14VCr", "functional": "PBE", "state": "optimized geometry", "lattice": [[6.2906, 0.0000, 0.0000], [-3.1453, 5.4478, 0.0000], [0.0000, 0.0000, 10.1473]], "species": ["Mg", "Mg", "Mg", "Mg", "Mg", "Mg", "Mg", "Mg", "Mg", "Mg", "Mg", "Mg", "Mg", "Mg", "V", "Cr"], "fractional_positions": [[0.0000, 0.0000, 0.2502], [0.0000, 0.0000, 0.7498], [0.0102, 0.5051, 0.2504], [0.0102, 0.5051, 0.7496], [0.3343, 0.1671, 0.0000], [0.3351, 0.1676, 0.5000], [0.4949, 0.5051, 0.2504], [0.4949, 0.5051, 0.7496], [0.4949, 0.9898, 0.2504], [0.4949, 0.9898, 0.7496], [0.8324, 0.1676, 0.5000], [0.8324, 0.6649, 0.5000], [0.8329, 0.1671, 0.0000], [0.8329, 0.6657, 0.0000], [0.3333, 0.6667, 0.5000], [0.3333, 0.6667, 0.0000]], "volume_a3_per_atom": 21.73, "formation_energy_ev_per_atom": 0.14, "de_polymorph_mev_per_atom": 0, "space_group": "No. 187"}

No. 4
{"formula": "Mg2VCr", "functional": "PBE", "state": "optimized geometry", "lattice": [[-3.7434, 3.7434, 2.7553], [3.7434, -3.7434, 2.7553], [3.7434, 3.7434, -2.7553]], "species": ["Mg", "Mg", "Mg", "Mg", "V", "V", "Cr", "Cr"], "fractional_positions": [[0.1167, 0.1250, 0.4917], [0.3750, 0.8833, 0.0083], [0.6333, 0.6250, 0.5083], [0.8750, 0.3667, 0.9917], [0.2500, 0.7500, 0.5000], [0.5000, 0.5000, 0.0000], [0.0000, 0.0000, 0.0000], [0.7500, 0.2500, 0.5000]], "volume_a3_per_atom": 19.30, "formation_energy_ev_per_atom": 0.82, "de_polymorph_mev_per_atom": 350, "space_group": "No. 122"}

No. 5
{"formula": "Mg3VCr", "functional": "PBE", "state": "optimized geometry", "lattice": [[5.0747, 0.0000, 0.0000], [0.0000, 5.0747, 0.0000], [0.0000, 0.0000, 5.0747]], "species": ["Mg", "Mg", "Mg", "V", "Cr"], "fractional_positions": [[0.0000, 0.0000, 0.5000], [0.0000, 0.5000, 0.0000], [0.5000, 0.0000, 0.0000], [0.5000, 0.5000, 0.5000], [0.0000, 0.0000, 0.0000]], "volume_a3_per_atom": 26.14, "formation_energy_ev_per_atom": 1.21, "space_group": "No. 221"}

No. 6
{"formula": "MgV2Cr2", "functional": "PBE", "state": "optimized geometry", "lattice": [[6.9967, 0.0000, 0.0000], [0.0000, 6.9967, 0.0000], [0.0000, 0.0000, 2.9751]], "species": ["Mg", "Mg", "V", "V", "V", "V", "Cr", "Cr", "Cr", "Cr"], "fractional_positions": [[0.0000, 0.0000, 0.0000], [0.5000, 0.5000, 0.0000], [0.1488, 0.3512, 0.5000], [0.3512, 0.8512, 0.5000], [0.6488, 0.1488, 0.5000], [0.8512, 0.6488, 0.5000], [0.1384, 0.6384, 0.0000], [0.3616, 0.1384, 0.0000], [0.6384, 0.8616, 0.0000], [0.8616, 0.3616, 0.0000]], "volume_a3_per_atom": 14.56, "formation_energy_ev_per_atom": 0.35, "space_group": "No. 127"}

Question: Which formula does entry 5 have?
Answer: Mg3VCr